This record from Alexandria via LeMat-Bulk describes a relaxed La2SnPb2 crystal. The functional is GGA-PBE.

Values from the calculation:
DOS at the Fermi energy, states/eV/f.u.: 5.75
Magnetization, μB/atom: 0.0000
Mass density, g/cm3: 8.3
Energy of formation from the pure elements, meV/atom: -558
Space group: P4/mbm, No. 127
Energy above the lowest structure with this stoichiometry, eV per atom: 0.000

Cell lengths 8.270, 8.270, 4.721 Å; angles 90.00, 90.00, 90.00 degrees
Fractional positions:
La: 0.325 0.175 0.500
La: 0.175 0.675 0.500
La: 0.825 0.325 0.500
Sn: 0.500 0.500 0.000
Sn: 0.000 0.000 0.000
Pb: 0.131 0.369 0.000
Pb: 0.869 0.631 0.000
Pb: 0.631 0.131 0.000
Pb: 0.369 0.869 0.000
La: 0.675 0.825 0.500